Below is a geometry-optimized YTc2Os structure, with properties calculated at the GGA-PBE level.

POSCAR file:
```
YTc2Os
1.0
-1.1332 1.5568 -2.5221
-4.0943 -2.0090 0.5995
-1.3114 3.4915 2.7444
Os Tc Y
1 2 1
Direct
0.0000 0.5000 0.5000
0.5000 0.5000 0.0000
0.0000 0.0000 0.0000
0.5000 0.0000 0.5000
```

ΔH_f (0 K)   1.2 eV per formula unit
Symmetry   No. 47
Distance to the lowest polymorph of the same formula   319 meV per atom
E_tot   -37.2 eV per cell
DOS(E_F)   3.3 states/eV per cell